Compound: HfMnNb2O
Source: the Alexandria database
Functional: GGA+U
Structure: relaxed

Computed properties:
- E (eV per atom) = -7.642
- size of the total moment (μB per formula unit) = 0.00

Structure (CIF):
```
data_HfMnNb2O
_cell_length_a 4.950
_cell_length_b 4.950
_cell_length_c 3.485
_cell_angle_alpha 90.00
_cell_angle_beta 90.00
_cell_angle_gamma 90.00
_space_group_name_H-M_alt 'P 1'
_space_group_IT_number 1
loop_
_space_group_symop_operation_xyz
'x,y,z'
loop_
_atom_site_label
_atom_site_fract_x
_atom_site_fract_y
_atom_site_fract_z
Hf1 0.000 0.000 0.000
Mn1 0.500 0.500 0.500
Nb1 0.000 0.500 0.500
Nb2 0.500 0.000 0.500
O1 0.500 0.500 0.000
```